Tb2MgGa3 | PBE-GGA | optimized geometry

Lattice parameters (Å, degrees): 7.1993 9.1539 15.6986 90.00 90.00 90.00
Last column: nearest neighbours and their distance in Å.
Space group Fmmm (No. 69)
Symmetry-distinct sites (fractional):
Tb1 0.2462 0.0000 0.0000 [8 per cell]  10 Ga 3.12-3.22, 2 Mg 3.20
Tb2 0.2500 0.2500 0.2500 [8 per cell]  4 Mg 3.19, 8 Ga 3.19-3.21
Mg1 0.0000 0.0000 0.3328 [8 per cell]  3 Ga 2.65-2.68
Ga1 0.0000 0.0000 0.1638 [8 per cell]  2 Ga 2.60, 1 Mg 2.65
Ga2 0.0000 0.2467 0.0820 [16 per cell]  2 Ga 2.58-2.60, 1 Mg 2.68

Properties
For the total energy, the calculation gives -184.78 eV for the cell shown.

=====

Tb7Mg2Ga2 | PBE-GGA | optimized geometry

Lattice parameters (Å, degrees): 7.3686 10.5015 8.4676 90.00 90.00 90.00
Last column: nearest neighbours and their distance in Å.
Space group Cmmm (No. 65)
Symmetry-distinct sites (fractional):
Tb1 0.0000 0.0000 0.0000 [2 per cell]  2 Mg 3.37
Tb2 0.0000 0.5000 0.2994 [4 per cell]  2 Ga 2.97, 2 Mg 3.16, 4 Tb 3.21
Tb3 0.2500 0.2500 0.3007 [8 per cell]  2 Ga 3.18, 3 Tb 3.21-3.38, 2 Mg 3.23
Mg1 0.0000 0.3211 0.0000 [4 per cell]  7 Tb 3.16-3.37
Ga1 0.1689 0.0000 0.5000 [4 per cell]  1 Ga 2.49

Properties
For the total energy, the calculation gives -81.19 eV for the cell shown.

=====

TbMg2Ga6 | PBE-GGA | optimized geometry

Lattice parameters (Å, degrees): 7.7885 7.7885 3.3279 90.00 90.00 120.00
Last column: nearest neighbours and their distance in Å.
Space group P6/mmm (No. 191)
Symmetry-distinct sites (fractional):
Tb1 0.0000 0.0000 0.0000 [1 per cell]  12 Ga 3.11, 2 Tb 3.33
Mg1 0.3333 0.6667 0.0000 [2 per cell]  12 Ga 3.07, 2 Mg 3.33
Ga1 0.0000 0.3374 0.5000 [6 per cell]  3 Ga 2.53-2.63

Properties
For the total energy, the calculation gives -28.40 eV for the cell shown.

=====

TbMg3Ga2 | PBE-GGA | optimized geometry

Lattice parameters (Å, degrees): 16.4153 4.4465 8.5033 90.00 121.13 90.00
Last column: nearest neighbours and their distance in Å.
Space group C2/m (No. 12)
Symmetry-distinct sites (fractional):
Tb1 0.1280 0.0000 0.1292 [4 per cell]  6 Ga 3.12-3.20, 8 Mg 3.31-3.46
Mg1 0.0018 0.0000 0.6693 [4 per cell]  2 Ga 2.73, 1 Mg 2.85
Mg2 0.1680 0.5000 0.4722 [4 per cell]  3 Ga 2.72-2.83
Mg3 0.1693 0.5000 0.8666 [4 per cell]  3 Ga 2.72-2.84
Ga1 0.9997 0.5000 0.1465 [4 per cell]  1 Ga 2.50, 4 Mg 2.72-2.73
Ga2 0.2085 0.0000 0.7084 [4 per cell]  6 Mg 2.83-3.11

Properties
For the total energy, the calculation gives -69.16 eV for the cell shown.

=====

Tb4MgGa2 | PBE-GGA | optimized geometry

Lattice parameters (Å, degrees): 7.7621 6.5411 8.1030 90.00 111.74 90.00
Last column: nearest neighbours and their distance in Å.
Space group P2_1/m (No. 11)
Symmetry-distinct sites (fractional):
Tb1 0.0163 0.2500 0.3772 [2 per cell]  2 Ga 2.83-2.96
Tb2 0.2006 0.7500 0.3305 [2 per cell]  2 Ga 2.92-3.05
Tb3 0.3989 0.0077 0.7475 [4 per cell]  4 Ga 2.97-3.15, 1 Tb 3.17
Mg1 0.1856 0.2500 0.0393 [2 per cell]  1 Ga 2.90
Ga1 0.2560 0.7500 0.9929 [2 per cell]  6 Tb 2.92-3.15
Ga2 0.3943 0.2500 0.4186 [2 per cell]  6 Tb 2.83-3.09, 1 Mg 2.90

Properties
For the total energy, the calculation gives -55.50 eV for the cell shown.

=====

Tb8MgGa2 | PBE-GGA | optimized geometry

Lattice parameters (Å, degrees): 16.1009 5.2414 8.3471 90.00 118.80 90.00
Last column: nearest neighbours and their distance in Å.
Space group C2/m (No. 12)
Symmetry-distinct sites (fractional):
Tb1 0.0646 0.0000 0.2238 [4 per cell]  1 Ga 3.04, 3 Tb 3.29
Tb2 0.1049 0.5000 0.9615 [4 per cell]  3 Ga 3.16-3.18, 1 Mg 3.38
Tb3 0.1470 0.0000 0.7090 [4 per cell]  3 Ga 3.11-3.20, 2 Mg 3.40
Tb4 0.1849 0.5000 0.4584 [4 per cell]  1 Ga 3.02, 1 Mg 3.16, 4 Tb 3.22-3.29
Mg1 0.0000 0.5000 0.5000 [2 per cell]  8 Tb 3.16-3.40
Ga1 0.2252 0.0000 0.1304 [4 per cell]  8 Tb 3.02-3.20

Properties
For the total energy, the calculation gives -93.96 eV for the cell shown.